[1]
The following is a PBE-GGA calculation of a relaxed SrMgTaCo crystal, from the Open Quantum Materials Database.

a b c (Å): 4.862 4.862 4.862
angles (deg): 60.00 60.00 60.00
Positions (direct):
Co1 0.250 0.250 0.250
Mg1 0.750 0.750 0.750
Sr1 0.000 0.000 0.000
Ta1 0.500 0.500 0.500

V: 20.32 Å³ per atom
Total energy: -4.766 eV/atom
M_tot: 0.0 μB/cell
Space-group type: F-43m, No. 216

***

[2]
The following is a PBE-GGA calculation of a relaxed MgTaZnCo crystal, from the Open Quantum Materials Database.

a b c (Å): 4.335 4.335 4.335
angles (deg): 60.00 60.00 60.00
Positions (direct):
Co1 0.250 0.250 0.250
Mg1 0.750 0.750 0.750
Ta1 0.500 0.500 0.500
Zn1 0.000 0.000 0.000

V: 14.40 Å³ per atom
Total energy: -5.368 eV/atom
M_tot: 0.0 μB/cell
Space-group type: F-43m, No. 216

***

Calculated density for every record listed, in sequence, given in g/cm3: 7.19 9.50.